No. 1
RbNiPS4 | OQMD via LeMat-Bulk | GGA-PBE | relaxed; raw total energy = -4.692 eV/atom
1.0
-4.1127 4.1127 5.9558
4.1127 -4.1127 5.9558
4.1127 4.1127 -5.9558
Rb Ni P S
2 2 2 8
Direct
0.2500 0.2500 0.0000
0.7500 0.7500 0.0000
0.0000 0.5000 0.5000
0.5000 0.0000 0.5000
0.2500 0.7500 0.5000
0.7500 0.2500 0.5000
0.0031 0.5031 0.2381
0.2350 0.9969 0.5000
0.2650 0.7650 0.7619
0.4969 0.7350 0.5000
0.5031 0.2650 0.5000
0.7350 0.2350 0.2381
0.7650 0.0031 0.5000
0.9969 0.4969 0.7619



No. 2
Nb2Co2SiGe | OQMD via LeMat-Bulk | GGA-PBE | relaxed; raw total energy = -7.135 eV/atom
1.0
10.1822 0.0000 0.0000
0.0000 4.1440 0.0000
-3.3660 0.0000 9.6196
Nb Co Si Ge
8 8 4 4
Direct
0.0000 0.0000 0.0000
0.1166 0.5000 0.3663
0.2487 0.0000 0.7491
0.3707 0.5000 0.1207
0.4947 0.0000 0.4890
0.6160 0.5000 0.8722
0.7437 0.0000 0.2480
0.8715 0.5000 0.6157
0.1237 0.5000 0.6213
0.2491 0.0000 0.9985
0.3665 0.5000 0.3650
0.4948 0.0000 0.7435
0.6191 0.5000 0.1238
0.7459 0.0000 0.4941
0.8718 0.5000 0.8715
0.9915 0.0000 0.2451
0.1234 0.5000 0.1209
0.3683 0.5000 0.8726
0.4937 0.0000 0.2407
0.8689 0.5000 0.3668
0.2447 0.0000 0.4964
0.6209 0.5000 0.6223
0.7480 0.0000 0.9972
0.9958 0.0000 0.7475



No. 3
BaMgBiIr | OQMD via LeMat-Bulk | GGA-PBE | relaxed; raw total energy = -4.023 eV/atom; energy above the lowest structure with this stoichiometry = 0.00 eV/f.u.
1.0
7.3321 0.0000 0.0000
0.0000 7.3321 0.0000
0.0000 0.0000 7.3321
Ba Mg Bi Ir
4 4 4 4
Direct
0.0000 0.0000 0.0000
0.0000 0.5000 0.5000
0.5000 0.0000 0.5000
0.5000 0.5000 0.0000
0.2500 0.2500 0.7500
0.2500 0.7500 0.2500
0.7500 0.2500 0.2500
0.7500 0.7500 0.7500
0.2500 0.2500 0.2500
0.2500 0.7500 0.7500
0.7500 0.2500 0.7500
0.7500 0.7500 0.2500
0.0000 0.0000 0.5000
0.0000 0.5000 0.0000
0.5000 0.0000 0.0000
0.5000 0.5000 0.5000



No. 4
Hf4Ni3Mo2N3 | OQMD via LeMat-Bulk | GGA-PBE | relaxed; raw total energy = -9.170 eV/atom
1.0
4.6202 -2.6349 0.0000
4.6202 2.6349 0.0000
-3.1241 0.0000 13.3239
Hf Ni Mo N
8 6 4 6
Direct
0.0217 0.2049 0.0931
0.1390 0.3041 0.4063
0.2049 0.0217 0.5931
0.3041 0.1390 0.9063
0.6959 0.8610 0.0937
0.7951 0.9783 0.4069
0.8610 0.6959 0.5937
0.9783 0.7951 0.9069
0.0725 0.9275 0.7500
0.1115 0.4115 0.7492
0.4115 0.1115 0.2492
0.5885 0.8885 0.7508
0.8885 0.5885 0.2508
0.9275 0.0725 0.2500
0.3892 0.5424 0.1294
0.4576 0.6108 0.3706
0.5424 0.3892 0.6294
0.6108 0.4576 0.8706
0.0000 0.5000 0.0000
0.1766 0.6609 0.4998
0.3391 0.8234 0.0002
0.5000 0.0000 0.5000
0.6609 0.1766 0.9998
0.8234 0.3391 0.5002



No. 5
CsTbNiTe3 | OQMD via LeMat-Bulk | GGA-PBE | relaxed; raw total energy = -4.320 eV/atom; energy above the lowest structure with this stoichiometry = 0.01 eV/f.u.
1.0
9.7545 0.0000 0.0000
0.0000 4.3280 0.0000
-4.8144 0.0000 10.4504
Cs Tb Ni Te
2 2 2 6
Direct
0.0229 0.2500 0.2944
0.9771 0.7500 0.7056
0.4582 0.2500 0.1465
0.5418 0.7500 0.8535
0.4838 0.7500 0.3905
0.5162 0.2500 0.6095
0.2536 0.7500 0.1781
0.3154 0.2500 0.8561
0.3664 0.7500 0.5495
0.6336 0.2500 0.4505
0.6846 0.7500 0.1439
0.7464 0.2500 0.8219



No. 6
TlAg3Te4W | OQMD via LeMat-Bulk | GGA-PBE | relaxed; raw total energy = -3.934 eV/atom
1.0
6.7376 0.0000 0.0000
0.0000 6.7376 0.0000
0.0000 0.0000 6.7376
Tl Ag Te W
1 3 4 1
Direct
0.0000 0.0000 0.0000
0.0000 0.5000 0.5000
0.5000 0.0000 0.5000
0.5000 0.5000 0.0000
0.2728 0.2728 0.2728
0.2728 0.7272 0.7272
0.7272 0.2728 0.7272
0.7272 0.7272 0.2728
0.5000 0.5000 0.5000



No. 7
Sr2TbNb2 | OQMD via LeMat-Bulk | GGA-PBE | relaxed; raw total energy = -4.983 eV/atom; energy above the lowest structure with this stoichiometry = 0.00 eV/f.u.
1.0
3.7110 0.0000 0.0000
0.0000 3.7110 0.0000
0.0000 0.0000 24.7281
Sr Tb Nb
4 2 4
Direct
0.0000 0.0000 0.1225
0.0000 0.0000 0.8775
0.5000 0.5000 0.3775
0.5000 0.5000 0.6225
0.0000 0.0000 0.5000
0.5000 0.5000 0.0000
0.0000 0.5000 0.2500
0.0000 0.5000 0.7500
0.5000 0.0000 0.2500
0.5000 0.0000 0.7500



No. 8
YEr3Sn2C2 | OQMD via LeMat-Bulk | GGA-PBE | relaxed; raw total energy = -6.396 eV/atom
1.0
3.5961 0.0000 0.0000
-1.7981 3.1143 0.0000
0.0000 0.0000 15.7384
Y Er Sn C
1 3 2 2
Direct
0.0000 0.0000 0.0000
0.0000 0.0000 0.6687
0.6667 0.3333 0.1694
0.6667 0.3333 0.5010
0.0000 0.0000 0.3353
0.6667 0.3333 0.8337
0.3333 0.6667 0.0864
0.3333 0.6667 0.5849